Entry from the Alexandria database: an optimized crystal structure of Pu5CuRu4 (PBE-GGA).

Lattice parameters (Å, degrees): 3.248 3.248 18.191 90.00 90.00 90.00
Fractional positions:
Pu1 0.000 0.000 0.000
Pu2 0.000 0.000 0.196
Pu3 0.000 0.000 0.390
Pu4 0.000 0.000 0.610
Pu5 0.000 0.000 0.804
Cu1 0.500 0.500 0.500
Ru1 0.500 0.500 0.112
Ru2 0.500 0.500 0.282
Ru3 0.500 0.500 0.718
Ru4 0.500 0.500 0.888

Volume, Å³ per cell: 192
Energy relative to the elements, eV/atom: 0.16
Total moment, μB per atom: 1.57